Record 1
First-principles (PBE) data for a relaxed structure of Cd2FeOs, as listed in Alexandria via LeMat-Bulk.

Geometry as CIF:
```
data_Cd2FeOs
_space_group_name_H-M_alt 'I -4 m 2'
_space_group_IT_number 119
_space_group_name_Hall 'I -4 -2'
_cell_length_a 4.209
_cell_length_b 4.209
_cell_length_c 7.484
_cell_angle_alpha 90.00
_cell_angle_beta 90.00
_cell_angle_gamma 90.00
loop_
_atom_site_label
_atom_site_fract_x
_atom_site_fract_y
_atom_site_fract_z
_atom_site_occupancy
Cd1 0.000 0.000 0.000 1
Cd2 0.000 0.500 0.250 1
Fe1 0.000 0.500 0.750 1
Os1 0.000 0.000 0.500 1
```

## Properties
Calculated formation energy, eV per atom: 0.579

Record 2
First-principles (PBE) data for a relaxed structure of Nd7Tm3Sc, as listed in Alexandria via LeMat-Bulk.

Geometry as CIF:
```
data_Nd7Tm3Sc
_space_group_name_H-M_alt 'P 1'
_space_group_IT_number 1
_space_group_name_Hall 'P 1'
_cell_length_a 7.016
_cell_length_b 10.038
_cell_length_c 11.210
_cell_angle_alpha 90.19
_cell_angle_beta 90.00
_cell_angle_gamma 110.45
loop_
_atom_site_label
_atom_site_fract_x
_atom_site_fract_y
_atom_site_fract_z
_atom_site_occupancy
Nd1 0.000 0.000 0.000 1
Nd2 0.001 0.002 0.459 1
Nd3 0.077 0.157 0.730 1
Nd4 0.114 0.244 0.229 1
Nd5 0.232 0.511 0.729 1
Nd6 0.316 0.644 0.437 1
Nd7 0.317 0.646 0.020 1
Nd8 0.502 0.000 0.500 1
Nd9 0.503 0.002 0.959 1
Nd10 0.584 0.157 0.230 1
Nd11 0.632 0.244 0.729 1
Nd12 0.784 0.511 0.229 1
Nd13 0.829 0.644 0.937 1
Nd14 0.830 0.646 0.520 1
Tm1 0.175 0.850 0.229 1
Tm2 0.177 0.849 0.729 1
Tm3 0.418 0.333 0.480 1
Tm4 0.418 0.333 0.980 1
Tm5 0.666 0.837 0.729 1
Tm6 0.673 0.836 0.229 1
Sc1 0.912 0.322 0.980 1
Sc2 0.913 0.322 0.480 1
```

## Properties
Calculated formation energy, eV per atom: 0.117

Record 3
First-principles (PBE) data for a relaxed structure of PrHgAs2O8, as listed in Alexandria via LeMat-Bulk.

Geometry as CIF:
```
data_PrHgAs2O8
_space_group_name_H-M_alt 'I -4 m 2'
_space_group_IT_number 119
_space_group_name_Hall 'I -4 -2'
_cell_length_a 7.424
_cell_length_b 7.424
_cell_length_c 6.552
_cell_angle_alpha 90.00
_cell_angle_beta 90.00
_cell_angle_gamma 90.00
loop_
_atom_site_label
_atom_site_fract_x
_atom_site_fract_y
_atom_site_fract_z
_atom_site_occupancy
Pr1 0.000 0.000 0.000 1
Hg1 0.000 0.500 0.250 1
As1 0.000 0.000 0.500 1
As2 0.000 0.500 0.750 1
O1 0.000 0.176 0.327 1
O2 0.000 0.321 0.917 1
```

## Properties
Raw formation energy, eV/atom: -1.42

Record 4
First-principles (PBE) data for a relaxed structure of TmZnCu2Ni, as listed in Alexandria via LeMat-Bulk.

Geometry as CIF:
```
data_TmZnCu2Ni
_space_group_name_H-M_alt 'I m m 2'
_space_group_IT_number 44
_space_group_name_Hall 'I 2 -2'
_cell_length_a 3.719
_cell_length_b 3.773
_cell_length_c 11.229
_cell_angle_alpha 90.00
_cell_angle_beta 90.00
_cell_angle_gamma 90.00
loop_
_atom_site_label
_atom_site_fract_x
_atom_site_fract_y
_atom_site_fract_z
_atom_site_occupancy
Tm1 0.000 0.000 0.000 1
Zn1 0.000 0.500 0.761 1
Cu1 0.000 0.000 0.616 1
Cu2 0.000 0.500 0.264 1
Ni1 0.000 0.000 0.405 1
```

## Properties
Calculated formation energy, eV per atom: -0.257

Record 5
First-principles (PBE) data for a relaxed structure of LaSnH, as listed in Alexandria via LeMat-Bulk.

Geometry as CIF:
```
data_LaSnH
_space_group_name_H-M_alt 'P 1 21/m 1'
_space_group_IT_number 11
_space_group_name_Hall '-P 2yb'
_cell_length_a 4.793
_cell_length_b 4.793
_cell_length_c 5.390
_cell_angle_alpha 90.00
_cell_angle_beta 90.15
_cell_angle_gamma 90.00
loop_
_atom_site_label
_atom_site_fract_x
_atom_site_fract_y
_atom_site_fract_z
_atom_site_occupancy
La1 0.250 0.250 0.000 1
Sn1 0.249 0.750 0.500 1
H1 0.250 0.750 0.001 1
```

## Properties
Raw total energy, eV per atom: -4.5208

Record 6
First-principles (PBE) data for a relaxed structure of LiMoAsBr2, as listed in Alexandria via LeMat-Bulk.

Geometry as CIF:
```
data_LiMoAsBr2
_space_group_name_H-M_alt 'P 4/m m m'
_space_group_IT_number 123
_space_group_name_Hall '-P 4 2'
_cell_length_a 4.718
_cell_length_b 4.718
_cell_length_c 5.280
_cell_angle_alpha 90.00
_cell_angle_beta 90.00
_cell_angle_gamma 90.00
loop_
_atom_site_label
_atom_site_fract_x
_atom_site_fract_y
_atom_site_fract_z
_atom_site_occupancy
Li1 0.000 0.000 0.000 1
Mo1 0.500 0.500 0.500 1
As1 0.000 0.000 0.500 1
Br1 0.000 0.500 0.000 1
```

## Properties
Raw formation energy, eV/atom: 0.57

Record 7
First-principles (PBE) data for a relaxed structure of NaLi2PtN, as listed in Alexandria via LeMat-Bulk.

Geometry as CIF:
```
data_NaLi2PtN
_space_group_name_H-M_alt 'P 4/m m m'
_space_group_IT_number 123
_space_group_name_Hall '-P 4 2'
_cell_length_a 4.299
_cell_length_b 4.299
_cell_length_c 3.940
_cell_angle_alpha 90.00
_cell_angle_beta 90.00
_cell_angle_gamma 90.00
loop_
_atom_site_label
_atom_site_fract_x
_atom_site_fract_y
_atom_site_fract_z
_atom_site_occupancy
Na1 0.000 0.000 0.000 1
Li1 0.000 0.500 0.500 1
Pt1 0.500 0.500 0.000 1
N1 0.500 0.500 0.500 1
```

## Properties
Raw formation energy, eV/atom: -0.22

Record 8
First-principles (PBE) data for a relaxed structure of Pr2NdIr9, as listed in Alexandria via LeMat-Bulk.

Geometry as CIF:
```
data_Pr2NdIr9
_space_group_name_H-M_alt 'R -3 m'
_space_group_IT_number 166
_space_group_name_Hall '-R 3 2"'
_cell_length_a 5.3912
_cell_length_b 5.3912
_cell_length_c 26.6349
_cell_angle_alpha 90.00
_cell_angle_beta 90.00
_cell_angle_gamma 120.00
loop_
_atom_site_label
_atom_site_fract_x
_atom_site_fract_y
_atom_site_fract_z
_atom_site_occupancy
Pr1 0.0000 0.0000 0.1396 1
Nd1 0.0000 0.0000 0.0000 1
Ir1 0.0000 0.0000 0.3320 1
Ir2 0.0000 0.0000 0.5000 1
Ir3 0.0038 0.5019 0.0804 1
```

## Properties
Calculated formation energy, eV per atom: -0.496

Record 9
First-principles (PBE) data for a relaxed structure of H8Ir2RhPb, as listed in Alexandria via LeMat-Bulk.

Geometry as CIF:
```
data_H8Ir2RhPb
_space_group_name_H-M_alt 'R -3 m'
_space_group_IT_number 166
_space_group_name_Hall '-R 3 2"'
_cell_length_a 5.0386
_cell_length_b 5.0386
_cell_length_c 14.5384
_cell_angle_alpha 90.00
_cell_angle_beta 90.00
_cell_angle_gamma 120.00
loop_
_atom_site_label
_atom_site_fract_x
_atom_site_fract_y
_atom_site_fract_z
_atom_site_occupancy
H1 0.0000 0.0000 0.1845 1
H2 0.0286 0.5143 0.5869 1
Ir1 0.0000 0.0000 0.2949 1
Rh1 0.0000 0.0000 0.0000 1
Pb1 0.0000 0.0000 0.5000 1
```

## Properties
Raw total energy, eV per atom: -4.5019

Record 10
First-principles (PBE) data for a relaxed structure of KY2Nb, as listed in Alexandria via LeMat-Bulk.

Geometry as CIF:
```
data_KY2Nb
_space_group_name_H-M_alt 'F m -3 m'
_space_group_IT_number 225
_space_group_name_Hall '-F 4 2 3'
_cell_length_a 7.817
_cell_length_b 7.817
_cell_length_c 7.817
_cell_angle_alpha 90.00
_cell_angle_beta 90.00
_cell_angle_gamma 90.00
loop_
_atom_site_label
_atom_site_fract_x
_atom_site_fract_y
_atom_site_fract_z
_atom_site_occupancy
K1 0.000 0.000 0.000 1
Y1 0.250 0.250 0.250 1
Nb1 0.000 0.000 0.500 1
```

## Properties
Calculated formation energy, eV per atom: 0.806

Record 11
First-principles (PBE) data for a relaxed structure of Er4Cd5In, as listed in Alexandria via LeMat-Bulk.

Geometry as CIF:
```
data_Er4Cd5In
_space_group_name_H-M_alt 'C 1 2/m 1'
_space_group_IT_number 12
_space_group_name_Hall '-C 2y'
_cell_length_a 15.494
_cell_length_b 5.146
_cell_length_c 6.429
_cell_angle_alpha 90.00
_cell_angle_beta 104.70
_cell_angle_gamma 90.00
loop_
_atom_site_label
_atom_site_fract_x
_atom_site_fract_y
_atom_site_fract_z
_atom_site_occupancy
Er1 0.097 0.000 0.378 1
Er2 0.194 0.500 0.814 1
Cd1 0.000 0.500 0.000 1
Cd2 0.099 0.000 0.900 1
Cd3 0.206 0.500 0.317 1
In1 0.000 0.500 0.500 1
```

## Properties
Calculated formation energy, eV per atom: -0.316

Record 12
First-principles (PBE) data for a relaxed structure of Sb2RhPb, as listed in Alexandria via LeMat-Bulk.

Geometry as CIF:
```
data_Sb2RhPb
_space_group_name_H-M_alt 'P 4/m m m'
_space_group_IT_number 123
_space_group_name_Hall '-P 4 2'
_cell_length_a 3.312
_cell_length_b 3.312
_cell_length_c 8.825
_cell_angle_alpha 90.00
_cell_angle_beta 90.00
_cell_angle_gamma 90.00
loop_
_atom_site_label
_atom_site_fract_x
_atom_site_fract_y
_atom_site_fract_z
_atom_site_occupancy
Sb1 0.000 0.000 0.184 1
Rh1 0.500 0.500 0.000 1
Pb1 0.500 0.500 0.500 1
```

## Properties
Raw formation energy, eV/atom: -0.14